A relaxed structure of BaCdP, computed with GGA-PBEsol.

CIF file:
```
data_BaCdP
_cell_length_a 10.9003
_cell_length_b 4.4967
_cell_length_c 7.1089
_cell_angle_alpha 90.00
_cell_angle_beta 100.23
_cell_angle_gamma 90.00
_symmetry_space_group_name_H-M 'C 1 2/m 1'
_symmetry_Int_Tables_number 12
loop_
_symmetry_equiv_pos_as_xyz
'x,y,z'
'-x,-y,-z'
'-x,y,-z'
'x,-y,z'
'x+1/2,y+1/2,z'
'-x+1/2,-y+1/2,-z'
'-x+1/2,y+1/2,-z'
'x+1/2,-y+1/2,z'
loop_
_atom_site_label
_atom_site_fract_x
_atom_site_fract_y
_atom_site_fract_z
Ba1 0.1202 0.0000 0.2976
Cd1 0.1182 0.5000 0.9329
P1 0.1803 0.0000 0.7635
```

Results
Excess energy over the best structure of this formula in the dataset   0 meV/atom
E   -45.05 eV/cell
Calculated formation energy   -0.71 eV per atom
Theoretical density   5.44 Mg/m³